Record 1
First-principles (PBE-GGA) data for Dy2GeBRh6 after structural relaxation, as listed in Alexandria via LeMat-Bulk.

Cell: 8.760 8.760 8.760 Å, 90.00 90.00 90.00°
Space group Fm-3m (No. 225)
Symmetry-distinct sites (fractional):
Dy  0.250  0.250  0.250 [8 per cell]
Ge  0.000  0.000  0.000 [4 per cell]
B  0.000  0.000  0.500 [4 per cell]
Rh  0.000  0.000  0.266 [24 per cell]

## Properties
The formation energy comes out at -637.9 meV per atom. The volume comes out at 16.81 Å³/atom.

=====

Record 2
First-principles (PBE-GGA) data for Dy2GeB2Rh5 after structural relaxation, as listed in Alexandria via LeMat-Bulk.

Cell: 9.406 9.406 3.255 Å, 90.00 90.00 90.00°
Space group P4/mbm (No. 127)
Symmetry-distinct sites (fractional):
Dy  0.175  0.325  0.000 [4 per cell]
Ge  0.000  0.000  0.000 [2 per cell]
B  0.121  0.621  0.000 [4 per cell]
Rh  0.000  0.500  0.500 [2 per cell]
Rh  0.070  0.782  0.500 [8 per cell]

## Properties
The formation energy comes out at -811.5 meV per atom. The volume comes out at 14.40 Å³/atom.